Entry from the Open Quantum Materials Database: an optimized crystal structure of HoTmAs (GGA-PBE).

Properties
The calculation puts the theoretical density at 8.87 Mg/m³. The space-group type is F-43m (216). For the total DFT energy (no corrections), the calculation gives -15.80 eV per formula unit. As for the total magnetization: 0.02 μB per cell.

Cell lengths 4.7661, 4.7661, 4.7661 Å; angles 60.00, 60.00, 60.00 degrees
With the nearest neighbours (Å) after each atom.
Positions (direct):
As1 0.0000 0.0000 0.0000  4 Ho 2.92, 4 Tm 2.92
Ho1 0.2500 0.2500 0.2500  4 As 2.92
Tm1 0.7500 0.7500 0.7500  4 As 2.92